This record from Alexandria via LeMat-Bulk describes a geometry-optimized LaPm7Hg2 structure. The functional is PBE.

Geometry as POSCAR:
```
LaPm7Hg2
1.0
-2.985 3.496 3.006
-6.466 -6.268 0.868
6.601 0.323 6.179
La Pm Hg
1 7 2
Cartesian
0.000 0.000 0.000 La
-3.347 -4.695 2.136 Pm
3.481 -1.251 4.911 Pm
0.125 1.470 3.432 Pm
-2.976 -3.919 6.621 Pm
-3.061 -0.137 2.137 Pm
0.210 -2.313 7.916 Pm
-1.426 -1.225 5.027 Pm
-3.967 -2.506 3.994 Hg
1.116 0.057 6.060 Hg
```

E_form, eV per atom: 0.253
M_tot, Bohr magnetons per cell: 0.0
Density, g cm⁻³: 6.55